1.
## KCoIrS3 (PBE)

Data for crystalline KCoIrS3 at its relaxed geometry.

Calculated values
Its uncorrected formation energy is -0.59 eV/atom. Its space-group type is P2_1/m. The calculated density comes out at 5.26 g/cm3. As for the calculated total energy: -65.991 eV per cell.

Cell: 3.6593 8.0835 9.0071 Å, 113.71 90.00 90.00°
Last column: nearest neighbours and their distance in Å.
Sites, in units of the cell vectors:
Co 0.2500 0.0858 0.6021  4 S 2.21-2.23
Co 0.7500 0.9142 0.3979  4 S 2.21-2.23
Ir 0.7500 0.3174 0.8431  6 S 2.41-2.45
Ir 0.2500 0.6826 0.1569  6 S 2.41-2.45
S 0.2500 0.7915 0.4531  3 Co 2.21-2.23, 1 Ir 2.45
S 0.2500 0.5207 0.8664  3 Ir 2.41
S 0.2500 0.1277 0.8596  1 Co 2.21, 2 Ir 2.43
S 0.7500 0.4793 0.1336  3 Ir 2.41
K 0.7500 0.7671 0.7434  7 S 3.21-3.33
K 0.2500 0.2329 0.2566  7 S 3.21-3.33
S 0.7500 0.8723 0.1404  1 Co 2.21, 2 Ir 2.43
S 0.7500 0.2085 0.5469  3 Co 2.21-2.23, 1 Ir 2.45

2.
## Cu2P2O7 (PBE)

Data for crystalline Cu2P2O7 at its relaxed geometry.

Calculated values
Its uncorrected formation energy is -1.57 eV/atom. The distance to the lowest polymorph of the same formula is 0.004 eV/atom. Its space-group type is C2/m. The calculated density comes out at 3.92 g/cm3. As for the calculated total energy: -71.007 eV per cell.

Cell: 5.4417 5.4417 4.6669 Å, 76.32 76.32 98.20°
Last column: nearest neighbours and their distance in Å.
Sites, in units of the cell vectors:
P 0.8022 0.8081 0.4098  4 O 1.52-1.59
O 0.0398 0.3550 0.7684  1 P 1.52
P 0.1919 0.1978 0.5902  4 O 1.52-1.59
O 0.3740 0.3800 0.2784  1 P 1.56
O 0.3490 0.0461 0.7689  1 P 1.52
Cu 0.6850 0.3150 0.0000  4 O 1.93-2.01
O 0.9974 0.0026 0.5000  2 P 1.59
O 0.6450 0.9602 0.2316  1 P 1.52
O 0.6200 0.6260 0.7216  1 P 1.56
Cu 0.3091 0.6909 0.0000  4 O 1.93-2.01
O 0.9539 0.6510 0.2311  1 P 1.52

3.
## CsSbTeH (PBE)

Data for crystalline CsSbTeH at its relaxed geometry.

Calculated values
The distance to the lowest polymorph of the same formula is 0.000 eV/atom. Its space-group type is P1. The calculated density comes out at 4.31 g/cm3. As for the calculated total energy: -12.712 eV per cell.

Cell: 5.0886 5.1719 6.1763 Å, 65.41 87.47 89.91°
Last column: nearest neighbours and their distance in Å.
Sites, in units of the cell vectors:
Cs 0.7646 0.9003 0.2076  3 H 3.44-3.61
H 0.9346 0.2179 0.5765  1 Sb 1.77
Te 0.2740 0.5820 0.8481  2 Sb 2.93
Sb 0.2796 0.2041 0.6018  1 H 1.77

4.
## KTaRu2 (PBE)

Data for crystalline KTaRu2 at its relaxed geometry.

Calculated values
The distance to the lowest polymorph of the same formula is 0.095 eV/atom. Its space-group type is Cmmm. The calculation puts the calculated formation energy at 1.8 eV per formula unit. The calculated density comes out at 9.16 g/cm3. As for the calculated total energy: -29.690 eV per cell.

Cell: 2.9456 2.9456 9.5910 Å, 90.00 90.00 113.06°
Last column: nearest neighbours and their distance in Å.
Sites, in units of the cell vectors:
Ta 0.5000 0.5000 0.2500  4 Ru 2.54
Ru 0.0000 0.0000 0.4539  2 Ta 2.54
Ru 0.0000 0.0000 0.0461  2 Ta 2.54
K 0.5000 0.5000 0.7500  6 K 2.95-3.25, 4 Ru 3.27

5.
## Na2UAsSe5 (PBE)

Data for crystalline Na2UAsSe5 at its relaxed geometry.

Calculated values
Its uncorrected formation energy is -0.79 eV/atom. Its space-group type is Cmc2_1. The calculated density comes out at 4.91 g/cm3. As for the calculated total energy: -86.254 eV per cell.

Cell: 4.2390 9.0091 13.7435 Å, 90.00 90.00 103.61°
Last column: nearest neighbours and their distance in Å.
Sites, in units of the cell vectors:
Se 0.4947 0.9894 0.2653  1 As 2.37
U 0.7793 0.5585 0.5412  6 Se 2.64-2.87
Na 0.1177 0.2353 0.3182  4 Se 3.11-3.19
Se 0.9349 0.8698 0.5558  1 U 2.73, 2 As 2.77
Na 0.9044 0.8088 0.1498  6 Se 3.08-3.13
Na 0.8823 0.7647 0.8182  4 Se 3.11-3.19
As 0.4479 0.8957 0.4273  2 Se 2.37-2.51
U 0.2207 0.4415 0.0412  6 Se 2.64-2.87
Se 0.6943 0.3885 0.9040  1 As 2.51
Se 0.6340 0.2681 0.4901  1 U 2.64
Se 0.2707 0.5414 0.6724  2 U 2.79, 1 Na 3.08
Se 0.7293 0.4586 0.1724  2 U 2.79, 1 Na 3.08
As 0.5521 0.1043 0.9273  2 Se 2.37-2.51
Se 0.0651 0.1302 0.0558  1 U 2.73, 2 As 2.77
Se 0.5053 0.0106 0.7653  1 As 2.37
Se 0.3057 0.6115 0.4040  1 As 2.51
Na 0.0956 0.1912 0.6498  6 Se 3.08-3.13
Se 0.3660 0.7319 0.9901  1 U 2.64

6.
## Ba2AcAl4 (PBE)

Data for crystalline Ba2AcAl4 at its relaxed geometry.

Calculated values
Its space-group type is C2/c. The calculation puts the calculated formation energy at -1.1 eV per formula unit. The calculated density comes out at 4.73 g/cm3. As for the calculated total energy: -48.061 eV per cell.

Cell: 6.4429 6.8342 10.3054 Å, 109.36 91.66 90.00°
Last column: nearest neighbours and their distance in Å.
Sites, in units of the cell vectors:
Al 0.5064 0.1260 0.2795  2 Al 2.68-2.71
Al 0.0064 0.1535 0.2795  2 Al 2.68-2.71
Al 0.2392 0.1726 0.8638  3 Al 2.65-2.71
Al 0.7392 0.6913 0.8638  3 Al 2.65-2.71
Al 0.4936 0.8740 0.7205  2 Al 2.68-2.71
Ba 0.2229 0.7880 0.3919  5 Al 3.37-3.63, 2 Ba 3.46
Al 0.2608 0.3087 0.1362  3 Al 2.65-2.71
Ac 0.2500 0.7588 0.0000  12 Al 3.46-3.78
Al 0.7608 0.8274 0.1362  3 Al 2.65-2.71
Ac 0.7500 0.2412 0.0000  12 Al 3.46-3.78
Ba 0.7771 0.2120 0.6081  5 Al 3.37-3.63, 2 Ba 3.46
Ba 0.7229 0.6039 0.3919  5 Al 3.37-3.63, 2 Ba 3.46
Ba 0.2771 0.3961 0.6081  5 Al 3.37-3.63, 2 Ba 3.46
Al 0.9936 0.8465 0.7205  2 Al 2.68-2.71

7.
## AcTb4Nd8 (PBE)

Data for crystalline AcTb4Nd8 at its relaxed geometry.

Calculated values
Its space-group type is R-3m. The calculation puts the calculated formation energy at 3.0 eV per formula unit. The calculated density comes out at 7.19 g/cm3. As for the calculated total energy: -57.782 eV per cell.

Cell: 7.4082 7.4082 10.6897 Å, 90.00 110.27 120.00°
Last column: nearest neighbours and their distance in Å.
Sites, in units of the cell vectors:
Nd 0.5752 0.7876 0.3628  9 Nd 3.79-3.94, 3 Tb 4.15
Tb 0.0000 0.0000 0.0000  6 Nd 3.38, 6 Tb 3.70
Nd 0.9582 0.2012 0.7152  1 Ac 3.18, 2 Nd 3.29, 1 Tb 3.38
Tb 0.5000 0.0000 0.0000  4 Nd 3.60, 6 Tb 3.70
Ac 0.0000 0.5000 0.5000  6 Nd 3.18
Nd 0.4859 0.2430 0.2848  1 Ac 3.18, 2 Nd 3.29, 1 Tb 3.38
Tb 0.5000 0.5000 0.0000  4 Nd 3.60, 6 Tb 3.70
Tb 0.0000 0.5000 0.0000  4 Nd 3.60, 6 Tb 3.70
Nd 0.9582 0.7570 0.7152  1 Ac 3.18, 2 Nd 3.29, 1 Tb 3.38
Nd 0.5141 0.7570 0.7152  1 Ac 3.18, 2 Nd 3.29, 1 Tb 3.38
Nd 0.0418 0.2430 0.2848  1 Ac 3.18, 2 Nd 3.29, 1 Tb 3.38
Nd 0.0418 0.7988 0.2848  1 Ac 3.18, 2 Nd 3.29, 1 Tb 3.38
Nd 0.4248 0.2124 0.6372  9 Nd 3.79-3.94, 3 Tb 4.15

8.
## Na3YRe (PBE)

Data for crystalline Na3YRe at its relaxed geometry.

Calculated values
The distance to the lowest polymorph of the same formula is 0.914 eV/atom. Its space-group type is Pm-3m. The calculation puts the calculated formation energy at 12.4 eV per formula unit. The calculated density comes out at 3.81 g/cm3. As for the calculated total energy: -10.494 eV per cell.

Cell: 5.3135 5.3135 5.3135 Å, 90.00 90.00 90.00°
Last column: nearest neighbours and their distance in Å.
Sites, in units of the cell vectors:
Re 0.5000 0.5000 0.5000  12 Na 3.76
Na 0.0000 0.0000 0.5000  2 Y 2.66
Na 0.0000 0.5000 0.0000  2 Y 2.66
Na 0.5000 0.0000 0.0000  2 Y 2.66
Y 0.0000 0.0000 0.0000  6 Na 2.66